# La3HoAu7

A geometry-optimized La3HoAu7 structure (PBE, the Alexandria database).

- V (A^3/atom) = 25.5
- calculated formation energy (eV/atom) = -0.74
- VASP energy (eV per formula unit) = -50.482
- magnetization (μB per atom) = 0.00

Cell: 3.8684 21.6791 13.3979 Å, 90.00 90.00 90.00°
Space group Cmcm (No. 63)
Asymmetric unit:
La: 0.0000 0.1317 0.0486
La: 0.0000 0.2121 0.7500
Ho: 0.0000 0.0086 0.7500
Au: 0.0000 0.2750 0.0671
Au: 0.0000 0.3815 0.7500
Au: 0.0000 0.3960 0.1438
Au: 0.0000 0.4765 0.5930